# Pm3Se2N2

A relaxed Pm3Se2N2 crystal (PBE-GGA, Alexandria via LeMat-Bulk). Values from VASP.

Values from the calculation:
Its space group is C2/m. The density of states at the Fermi level comes out at 0.534 states/eV per atom. For the raw formation energy, the calculation gives -1.49 eV per atom.

Geometry as Quantum ESPRESSO input:
```
&SYSTEM
  ibrav = 0, nat = 7, ntyp = 3
/
ATOMIC_SPECIES
Pm 145.00 Pm.upf
N 14.01 N.upf
Se 78.96 Se.upf
CELL_PARAMETERS angstrom
3.881 0.000 1.115
1.123 6.039 3.403
0.062 0.237 7.096
ATOMIC_POSITIONS crystal
Pm 0.784 0.675 0.758
Pm 0.000 0.000 0.000
Pm 0.216 0.325 0.242
N 0.188 0.685 0.939
N 0.812 0.315 0.061
Se 0.586 0.186 0.643
Se 0.414 0.814 0.357
```